Material: Rb2NaSmF6
Method: DFT, PBE
State: relaxed

As for the space group: Fm-3m (225). The calculation puts the volume at 188.78 Å³/f.u. The calculation puts the density at 4.0 g/cm3. The value obtained for the total energy is -52.1 eV/cell. Its uncorrected formation energy is -32.91 eV/f.u. Its crystal system is cubic. The calculation puts the density of states at the Fermi level at 0.0 states/eV/cell.

```
data_Rb2NaSmF6
_space_group_name_H-M_alt 'P 1'
_space_group_IT_number 1
_space_group_name_Hall 'P 1'
_cell_length_a 6.439
_cell_length_b 6.439
_cell_length_c 6.439
_cell_angle_alpha 60.00
_cell_angle_beta 60.00
_cell_angle_gamma 60.00
loop_
_atom_site_label
_atom_site_type_symbol
_atom_site_fract_x
_atom_site_fract_y
_atom_site_fract_z
_atom_site_occupancy
F1 F 0.754 0.246 0.754 1
F2 F 0.246 0.246 0.754 1
Na1 Na 0.500 0.500 0.500 1
Sm1 Sm 0.000 0.000 0.000 1
F3 F 0.246 0.754 0.754 1
Rb1 Rb 0.750 0.750 0.750 1
F4 F 0.246 0.754 0.246 1
Rb2 Rb 0.250 0.250 0.250 1
F5 F 0.754 0.754 0.246 1
F6 F 0.754 0.246 0.246 1
```

---

Material: Dy2BeGaIr2
Method: DFT, PBE
State: relaxed

For the calculated formation energy, the calculation gives -4.27 eV per formula unit. As for the space group: Ibam (72). The calculation puts the volume at 110.92 Å³/f.u. The calculation puts the density at 11.8 g/cm3. The value obtained for the total energy is -75.9 eV/cell. Its crystal system is orthorhombic. The calculation puts the density of states at the Fermi level at 6.9 states/eV/cell.

```
data_Dy2BeGaIr2
_space_group_name_H-M_alt 'P 1'
_space_group_IT_number 1
_space_group_name_Hall 'P 1'
_cell_length_a 5.721
_cell_length_b 5.706
_cell_length_c 7.906
_cell_angle_alpha 111.15
_cell_angle_beta 111.21
_cell_angle_gamma 90.00
loop_
_atom_site_label
_atom_site_type_symbol
_atom_site_fract_x
_atom_site_fract_y
_atom_site_fract_z
_atom_site_occupancy
Dy1 Dy 0.065 0.329 0.658 1
Be1 Be 0.500 0.250 0.000 1
Ir1 Ir 0.610 0.393 0.786 1
Ir2 Ir 0.175 0.893 0.786 1
Ir3 Ir 0.825 0.107 0.214 1
Dy2 Dy 0.935 0.671 0.342 1
Dy3 Dy 0.593 0.829 0.658 1
Ga1 Ga 0.000 0.250 0.000 1
Ir4 Ir 0.390 0.607 0.214 1
Dy4 Dy 0.407 0.171 0.342 1
Be2 Be 0.500 0.750 0.000 1
Ga2 Ga 0.000 0.750 0.000 1
```

---

Material: InMo2N
Method: DFT, PBE
State: relaxed

As for the space group: Fm-3m (225). The calculation puts the volume at 59.68 Å³/f.u. The calculation puts the density at 8.9 g/cm3. The value obtained for the total energy is -27.2 eV/cell. Its uncorrected formation energy is 5.55 eV/f.u. Its crystal system is cubic. The calculation puts the density of states at the Fermi level at 2.6 states/eV/cell.

```
data_InMo2N
_space_group_name_H-M_alt 'P 1'
_space_group_IT_number 1
_space_group_name_Hall 'P 1'
_cell_length_a 4.387
_cell_length_b 4.387
_cell_length_c 4.387
_cell_angle_alpha 60.00
_cell_angle_beta 60.00
_cell_angle_gamma 60.00
loop_
_atom_site_label
_atom_site_type_symbol
_atom_site_fract_x
_atom_site_fract_y
_atom_site_fract_z
_atom_site_occupancy
N1 N 0.000 0.000 0.000 1
Mo1 Mo 0.250 0.250 0.250 1
Mo2 Mo 0.750 0.750 0.750 1
In1 In 0.500 0.500 0.500 1
```

---

Material: YTlHg2
Method: DFT, PBE
State: relaxed

For the calculated formation energy, the calculation gives -1.18 eV per formula unit. As for the space group: P4/mmm (123). The calculation puts the volume at 100.63 Å³/f.u. The calculation puts the density at 11.5 g/cm3. The value obtained for the total energy is -10.6 eV/cell. Its crystal system is tetragonal. The calculation puts the density of states at the Fermi level at 3.9 states/eV/cell.

```
data_YTlHg2
_space_group_name_H-M_alt 'P 1'
_space_group_IT_number 1
_space_group_name_Hall 'P 1'
_cell_length_a 4.642
_cell_length_b 4.640
_cell_length_c 4.672
_cell_angle_alpha 90.00
_cell_angle_beta 90.00
_cell_angle_gamma 90.00
loop_
_atom_site_label
_atom_site_type_symbol
_atom_site_fract_x
_atom_site_fract_y
_atom_site_fract_z
_atom_site_occupancy
Y1 Y 0.000 0.500 0.500 1
Tl1 Tl 0.500 0.000 0.500 1
Hg1 Hg 0.000 0.000 0.000 1
Hg2 Hg 0.500 0.500 0.000 1
```

---

Material: AsPb4
Method: DFT, PBE
State: relaxed

For the calculated formation energy, the calculation gives 0.22 eV per formula unit. As for the space group: I4/m (87). The calculation puts the volume at 147.13 Å³/f.u. The calculation puts the density at 10.2 g/cm3. The value obtained for the total energy is -19.3 eV/cell. Its crystal system is tetragonal. The calculation puts the density of states at the Fermi level at 3.2 states/eV/cell.

```
data_AsPb4
_space_group_name_H-M_alt 'P 1'
_space_group_IT_number 1
_space_group_name_Hall 'P 1'
_cell_length_a 6.403
_cell_length_b 6.403
_cell_length_c 6.403
_cell_angle_alpha 95.52
_cell_angle_beta 95.52
_cell_angle_gamma 143.87
loop_
_atom_site_label
_atom_site_type_symbol
_atom_site_fract_x
_atom_site_fract_y
_atom_site_fract_z
_atom_site_occupancy
Pb1 Pb 0.771 0.419 0.190 1
Pb2 Pb 0.229 0.581 0.810 1
As1 As 0.000 0.000 0.000 1
Pb3 Pb 0.581 0.771 0.352 1
Pb4 Pb 0.419 0.229 0.648 1
```

---

Material: LiCaCeOs
Method: DFT, PBE
State: relaxed

For the calculated formation energy, the calculation gives 0.34 eV per formula unit. As for the space group: F-43m (216). The calculation puts the volume at 85.28 Å³/f.u. The calculation puts the density at 7.3 g/cm3. The value obtained for the total energy is -20.7 eV/cell. Its crystal system is cubic. The calculation puts the density of states at the Fermi level at 5.2 states/eV/cell.

```
data_LiCaCeOs
_space_group_name_H-M_alt 'P 1'
_space_group_IT_number 1
_space_group_name_Hall 'P 1'
_cell_length_a 4.941
_cell_length_b 4.941
_cell_length_c 4.941
_cell_angle_alpha 60.00
_cell_angle_beta 60.00
_cell_angle_gamma 60.00
loop_
_atom_site_label
_atom_site_type_symbol
_atom_site_fract_x
_atom_site_fract_y
_atom_site_fract_z
_atom_site_occupancy
Ce1 Ce 0.750 0.750 0.750 1
Os1 Os 0.500 0.500 0.500 1
Li1 Li 0.000 0.000 0.000 1
Ca1 Ca 0.250 0.250 0.250 1
```